No. 1
The following is a DFT calculation (PBE) of a geometry-optimized CoRh structure.

N(E_F): 5.95 states/eV per cell
Total DFT energy (no corrections): -28.68 eV per cell
Space group: P2_1/m (11)
Crystal system: monoclinic
ΔH_f (0 K): 5.63 kJ/mol of atoms

The structure in extended XYZ format:
```
4
Lattice="6.243 0.000 0.010 0.000 4.026 0.000 -7.926 0.000 2.034" Properties=species:S:1:pos:R:3 pbc="T T T"
Co -2.938 2.013 1.658
Rh -4.583 0.000 2.012
Rh 1.338 2.013 0.030
Co -0.306 0.000 0.384
```

No. 2
The following is a DFT calculation (PBE) of a geometry-optimized ReNiRu2 structure.

N(E_F): 4.25 states/eV per cell
Relative energy among the computed polymorphs: 0.06 eV per formula unit
Total DFT energy (no corrections): -36.49 eV per cell
Space group: Pmm2 (25)
Crystal system: orthorhombic
ΔH_f (0 K): 7.14 kJ/mol of atoms

The structure in extended XYZ format:
```
4
Lattice="-0.874 -3.661 0.522 1.495 -0.038 2.238 -2.732 1.377 5.085" Properties=species:S:1:pos:R:3 pbc="T T T"
Re -1.318 -0.841 5.720
Ru 1.495 -0.038 2.237
Ru -0.797 -1.478 2.129
Ni -0.612 0.668 3.658
```

No. 3
The following is a DFT calculation (PBE) of a geometry-optimized Ba2ErAg structure.

N(E_F): 5.58 states/eV per cell
Total DFT energy (no corrections): -9.91 eV per cell
Space group: R-3m (166)
Crystal system: trigonal
ΔH_f (0 K): 32.50 kJ/mol of atoms

The structure in extended XYZ format:
```
4
Lattice="3.891 0.000 0.000 1.946 3.370 0.000 1.946 1.123 12.287" Properties=species:S:1:pos:R:3 pbc="T T T"
Er 0.000 0.000 0.000
Ag 3.891 2.247 6.143
Ba 1.946 1.123 8.658
Ba 5.837 3.370 3.629
```

No. 4
The following is a DFT calculation (PBE) of a geometry-optimized ReP2Pb structure.

N(E_F): 0.69 states/eV per cell
Total DFT energy (no corrections): -25.26 eV per cell
Space group: R3m (160)
Crystal system: trigonal
ΔH_f (0 K): 41.43 kJ/mol of atoms

The structure in extended XYZ format:
```
4
Lattice="-4.119 -8.157 -2.414 -1.970 -9.228 -0.526 -4.625 -8.220 0.598" Properties=species:S:1:pos:R:3 pbc="T T T"
Pb -5.246 -12.538 -1.147
Re -7.820 -18.690 -1.709
P -2.956 -7.066 -0.646
P -0.048 -0.115 -0.011
```

No. 5
The following is a DFT calculation (PBE) of a geometry-optimized RbPuIBr2 structure.

N(E_F): 18.21 states/eV per cell
Total DFT energy (no corrections): -27.18 eV per cell
Space group: P4mm (99)
Crystal system: tetragonal

The structure in extended XYZ format:
```
5
Lattice="5.866 0.000 0.000 0.000 5.866 0.000 0.000 0.000 6.415" Properties=species:S:1:pos:R:3 pbc="T T T"
Rb 2.933 2.933 3.965
Pu 0.000 0.000 6.357
Br 2.933 5.866 6.118
I 0.000 5.866 3.103
Br 0.000 2.933 6.118
```

No. 6
The following is a DFT calculation (PBE) of a geometry-optimized MgTa2Se structure.

N(E_F): 4.25 states/eV per cell
Relative energy among the computed polymorphs: 1.21 eV per formula unit
Total DFT energy (no corrections): -55.26 eV per cell
Space group: I-42d (122)
Crystal system: tetragonal

The structure in extended XYZ format:
```
8
Lattice="-2.049 -2.202 2.500 -0.036 -2.921 -2.602 7.570 -6.145 3.853" Properties=species:S:1:pos:R:3 pbc="T T T"
Mg 3.246 -5.813 0.600
Se 2.239 -5.454 3.151
Ta 3.853 -9.087 2.804
Se 0.000 0.000 0.000
Ta 4.896 -6.533 2.848
Ta 0.610 -3.275 2.198
Ta 1.611 -3.640 -0.347
Mg -1.043 -2.561 -0.051
```